{"formula": "Nd2CoTcO8", "functional": "PBE with a Hubbard U", "state": "relaxed", "lattice_angstrom": [[-2.1401, 1.8542, -4.5239], [-3.6139, -0.1136, 2.3001], [1.0812, 6.7300, 1.1110]], "species": ["Nd", "Nd", "Co", "Tc", "O", "O", "O", "O", "O", "O", "O", "O"], "frac_coords": [[0.5221, 0.3130, 0.7375], [0.4779, 0.6870, 0.2625], [0.0000, 0.0000, 0.5000], [0.0000, 0.0000, 0.0000], [0.0440, 0.8027, 0.2476], [0.7342, 0.6880, 0.9526], [0.7576, 0.2137, 0.1524], [0.9560, 0.1973, 0.7524], [0.2658, 0.3120, 0.0474], [0.2424, 0.7863, 0.8476], [0.6790, 0.7929, 0.5515], [0.3210, 0.2071, 0.4485]], "final_energy_ev_per_atom": -7.392}